1.
A plane-wave DFT calculation with GGA-PBE was carried out for a geometry-optimized DyErAsBr2 structure.

Cell lengths 4.037, 4.037, 9.959 Å; angles 90.00, 90.00, 120.00 degrees
Fractional coordinates of all 5 atoms:
As: 0.000 0.000 0.498
Br: 0.667 0.333 0.165
Br: 0.333 0.667 0.838
Dy: 0.667 0.333 0.657
Er: 0.333 0.667 0.343

* electronic total energy: -5.11 eV/atom
* M_tot: 0.0 μB per formula unit
* symmetry: P3m1 (156)

***

2.
A plane-wave DFT calculation with GGA-PBE was carried out for a geometry-optimized InCoAg2 structure.

Cell lengths 4.560, 4.560, 4.560 Å; angles 60.00, 60.00, 60.00 degrees
Fractional coordinates of all 4 atoms:
Ag: 0.000 0.000 0.000
Ag: 0.750 0.750 0.750
Co: 0.250 0.250 0.250
In: 0.500 0.500 0.500

* electronic total energy: -3.64 eV/atom
* M_tot: 0.0 μB per formula unit
* symmetry: F-43m (216)

***

3.
A plane-wave DFT calculation with GGA-PBE was carried out for a geometry-optimized AcPIrO structure.

Cell lengths 4.061, 4.061, 8.999 Å; angles 90.00, 90.00, 90.00 degrees
Fractional coordinates of all 8 atoms:
Ac: 0.000 0.500 0.150
Ac: 0.500 0.000 0.850
Ir: 0.000 0.000 0.500
Ir: 0.500 0.500 0.500
O: 0.000 0.000 0.000
O: 0.500 0.500 0.000
P: 0.500 0.000 0.359
P: 0.000 0.500 0.641

* relative energy among the computed polymorphs: 0.0 meV per atom
* M_tot: 0.0 μB per formula unit
* symmetry: P4/nmm (129)

***

4.
A plane-wave DFT calculation with GGA-PBE was carried out for a geometry-optimized Pu structure.

Cell lengths 3.334, 3.334, 3.334 Å; angles 118.55, 118.55, 92.53 degrees
Site moments in Bohr magnetons follow the coordinates.
Fractional coordinates of all 1 atoms:
Pu: 0.000 0.000 0.000  5.37

* relative energy among the computed polymorphs: 153.2 meV per atom
* M_tot: 5.7 μB per formula unit
* symmetry: I4/mmm (139)

***

5.
A plane-wave DFT calculation with GGA-PBE was carried out for a geometry-optimized Zr4SiAsN2 structure.

Cell lengths 3.362, 3.362, 12.918 Å; angles 90.00, 90.00, 120.00 degrees
Fractional coordinates of all 8 atoms:
As: 0.667 0.333 0.000
N: 0.333 0.667 0.247
N: 0.333 0.667 0.753
Si: 0.000 0.000 0.500
Zr: 0.000 0.000 0.150
Zr: 0.667 0.333 0.342
Zr: 0.667 0.333 0.658
Zr: 0.000 0.000 0.850

* electronic total energy: -8.84 eV/atom
* M_tot: 0.0 μB per formula unit
* symmetry: P-6m2 (187)

***

6.
A plane-wave DFT calculation with GGA-PBE was carried out for a geometry-optimized Tb3Ge5 structure.

Cell lengths 5.786, 7.487, 9.164 Å; angles 97.01, 71.60, 112.73 degrees
Fractional coordinates of all 16 atoms:
Ge: 0.448 0.896 0.000
Ge: 0.779 0.305 0.131
Ge: 0.001 0.671 0.174
Ge: 0.925 0.171 0.326
Ge: 0.660 0.805 0.369
Ge: 0.198 0.396 0.500
Ge: 0.145 0.805 0.631
Ge: 0.246 0.171 0.674
Ge: 0.669 0.671 0.826
Ge: 0.526 0.305 0.869
Tb: 0.998 0.996 0.000
Tb: 0.411 0.511 0.163
Tb: 0.324 0.011 0.337
Tb: 0.748 0.496 0.500
Tb: 0.687 0.011 0.663
Tb: 0.100 0.511 0.837

* electronic total energy: -5.35 eV/atom
* M_tot: 0.0 μB per formula unit
* symmetry: Fdd2 (43)